## GdTlCoO3 (PBE with a Hubbard U)

Data for GdTlCoO3 after structural relaxation.

The calculation puts the electronic total energy at -69.69 eV per cell. The calculated density comes out at 7.92 g cm⁻³.

Unit cell a=7.946 b=7.946 c=8.119 alpha=90.00 beta=90.00 gamma=22.55
Site moments in Bohr magnetons follow the coordinates.
Fractional positions:
1 Gd 0.000 0.000 0.500  0.10
2 O 0.948 0.948 0.750  0.02
3 Tl 0.319 0.319 0.750  0.01
4 Co 0.357 0.357 0.250  2.45
5 Gd 0.000 0.000 0.000  0.10
6 O 0.864 0.864 0.094  0.03
7 O 0.136 0.136 0.906  0.03
8 Co 0.643 0.643 0.750  2.45
9 O 0.864 0.864 0.406  0.03
10 O 0.136 0.136 0.594  0.03
11 O 0.052 0.052 0.250  0.02
12 Tl 0.681 0.681 0.250  0.01